No. 1
Ho3Zn2Pt4: optimized geometry, PBE-GGA.

Computed properties:
total magnetization: 0.000 μB per atom
formation energy from the elements: -1.01 eV per atom
SG: C2/m
VASP energy: -49.539 eV/cell

Cell: 4.187 5.954 8.682 Å, 115.28 90.00 110.59°
Element x y z (fractional)
Ho 0.359 0.718 0.305
Ho 0.641 0.282 0.695
Ho 0.000 0.000 0.000
Pt 0.707 0.413 0.067
Pt 0.293 0.587 0.933
Pt 0.925 0.851 0.591
Pt 0.075 0.149 0.409
Zn 0.664 0.328 0.331
Zn 0.336 0.672 0.669

***

No. 2
HfIr3F: optimized geometry, PBE-GGA.

Computed properties:
total magnetization: 0.000 μB per atom
SG: Pm-3m
VASP energy: -35.952 eV/cell

Cell: 4.285 4.285 4.285 Å, 90.00 90.00 90.00°
Element x y z (fractional)
Ir 0.000 0.500 0.000
Ir 0.000 0.000 0.500
Ir 0.500 0.000 0.000
F 0.000 0.000 0.000
Hf 0.500 0.500 0.500